No. 1
Below is CsNa2ZnPt after structural relaxation, with properties calculated at the PBE-GGA level.

Cell: 5.639 5.639 5.062 Å, 90.00 90.00 90.00°
Positions (direct):
Cs1 0.000 0.000 0.000
Na1 0.000 0.500 0.500
Na2 0.500 0.000 0.500
Zn1 0.500 0.500 0.000
Pt1 0.500 0.500 0.500

Values from the calculation:
- total magnetic moment (μB per cell) = 0.00
- ΔH_f (0 K) (meV/atom) = -70.6
- E (eV for the cell shown) = -11.16
- symmetry = P4/mmm


No. 2
Below is CsNaPuS3 after structural relaxation, with properties calculated at the PBE-GGA level.

Cell: 9.257 4.225 9.955 Å, 90.00 108.97 90.00°
Positions (direct):
Cs1 0.238 0.250 0.265
Cs2 0.762 0.750 0.735
Na1 0.068 0.250 0.606
Na2 0.932 0.750 0.394
Pu1 0.329 0.750 0.858
Pu2 0.671 0.250 0.142
S1 0.154 0.250 0.887
S2 0.232 0.750 0.577
S3 0.479 0.750 0.140
S4 0.521 0.250 0.860
S5 0.768 0.250 0.423
S6 0.846 0.750 0.113

Values from the calculation:
- E_form (uncorrected) (eV/atom) = -1.295
- total magnetic moment (μB per cell) = 8.00
- E (eV for the cell shown) = -73.31
- symmetry = P2_1/m


No. 3
Below is CsRb7Na3 after structural relaxation, with properties calculated at the PBE-GGA level.

Cell: 10.379 10.379 9.593 Å, 90.00 90.00 120.00°
Positions (direct):
Cs1 0.000 0.000 0.000
Rb1 0.033 0.516 0.031
Rb2 0.171 0.342 0.498
Rb3 0.171 0.829 0.498
Rb4 0.484 0.516 0.031
Rb5 0.484 0.967 0.031
Rb6 0.658 0.829 0.498
Rb7 0.667 0.333 0.362
Na1 0.433 0.216 0.729
Na2 0.784 0.216 0.729
Na3 0.784 0.567 0.729

Values from the calculation:
- total magnetic moment (μB per cell) = 0.00
- ΔH_f (0 K) (meV/atom) = 50.4
- E (eV for the cell shown) = -11.03
- symmetry = P3m1


No. 4
Below is Cs3RbNa3 after structural relaxation, with properties calculated at the PBE-GGA level.

Cell: 11.065 11.065 11.065 Å, 70.63 70.63 70.63°
Positions (direct):
Cs1 0.117 0.841 0.347
Cs2 0.159 0.653 0.883
Cs3 0.347 0.117 0.841
Cs4 0.653 0.883 0.159
Cs5 0.841 0.347 0.117
Cs6 0.883 0.159 0.653
Rb1 0.325 0.325 0.325
Rb2 0.675 0.675 0.675
Na1 0.053 0.452 0.660
Na2 0.340 0.947 0.548
Na3 0.452 0.660 0.053
Na4 0.548 0.340 0.947
Na5 0.660 0.053 0.452
Na6 0.947 0.548 0.340

Values from the calculation:
- total magnetic moment (μB per cell) = 0.00
- ΔH_f (0 K) (meV/atom) = 62.0
- E (eV for the cell shown) = -14.10
- symmetry = R-3


No. 5
Below is CsRb6Na2 after structural relaxation, with properties calculated at the PBE-GGA level.

Cell: 12.605 12.605 11.051 Å, 113.64 113.64 77.59°
Positions (direct):
Cs1 0.248 0.752 0.750
Cs2 0.752 0.248 0.250
Rb1 0.066 0.180 0.045
Rb2 0.106 0.605 0.261
Rb3 0.180 0.066 0.545
Rb4 0.319 0.436 0.952
Rb5 0.395 0.894 0.239
Rb6 0.436 0.319 0.452
Rb7 0.564 0.681 0.548
Rb8 0.605 0.106 0.761
Rb9 0.681 0.564 0.048
Rb10 0.820 0.934 0.455
Rb11 0.894 0.395 0.739
Rb12 0.934 0.820 0.955
Na1 0.112 0.389 0.499
Na2 0.389 0.112 0.999
Na3 0.611 0.888 0.001
Na4 0.888 0.611 0.501

Values from the calculation:
- total magnetic moment (μB per cell) = 0.00
- ΔH_f (0 K) (meV/atom) = 28.9
- E (eV for the cell shown) = -18.07
- symmetry = C2/c


No. 6
Below is Cs4Rb5Na after structural relaxation, with properties calculated at the PBE-GGA level.

Cell: 11.569 11.569 11.569 Å, 97.46 97.46 137.77°
Positions (direct):
Cs1 0.000 0.313 0.313
Cs2 0.000 0.687 0.687
Cs3 0.313 0.000 0.313
Cs4 0.687 0.000 0.687
Rb1 0.193 0.193 0.000
Rb2 0.350 0.350 0.647
Rb3 0.350 0.703 0.000
Rb4 0.703 0.350 0.000
Rb5 0.703 0.703 0.353
Na1 0.727 0.727 0.000

Values from the calculation:
- total magnetic moment (μB per cell) = 0.00
- ΔH_f (0 K) (meV/atom) = 24.1
- E (eV for the cell shown) = -9.33
- symmetry = I4mm


DOS at the Fermi energy (computed, states/eV/atom): 0.77 1.48 0.74 0.65 0.75 0.91